A plane-wave DFT calculation with PBE was carried out for a relaxed structure of Pm4Sm2Mg.

a b c (Å): 6.0761 6.6977 11.7150
angles (deg): 90.00 104.89 90.00
Last column: nearest neighbours and their distance in Å.
Fractional coordinates of all 14 atoms:
Pm 0.1379 0.2500 0.1238  3 Mg 3.28-3.48, 3 Sm 3.30-3.54, 2 Pm 3.58
Pm 0.2918 0.7500 0.4414  1 Mg 3.23, 4 Sm 3.36-3.46, 4 Pm 3.56-3.58
Pm 0.3567 0.0001 0.7160  5 Pm 3.35-3.58, 1 Mg 3.41, 4 Sm 3.51-3.72
Pm 0.3567 0.4999 0.7160  5 Pm 3.35-3.58, 1 Mg 3.41, 4 Sm 3.51-3.72
Pm 0.6433 0.9999 0.2840  5 Pm 3.35-3.58, 1 Mg 3.41, 4 Sm 3.51-3.72
Pm 0.6433 0.5001 0.2840  5 Pm 3.35-3.58, 1 Mg 3.41, 4 Sm 3.51-3.72
Pm 0.7082 0.2500 0.5586  1 Mg 3.23, 4 Sm 3.36-3.46, 4 Pm 3.56-3.58
Pm 0.8621 0.7500 0.8762  3 Mg 3.28-3.48, 3 Sm 3.30-3.54, 2 Pm 3.58
Sm 0.1466 0.2500 0.4271  9 Pm 3.36-3.70
Sm 0.4134 0.7500 0.0058  4 Pm 3.30-3.61, 2 Mg 3.39-3.69, 2 Sm 3.52
Sm 0.5866 0.2500 0.9942  4 Pm 3.30-3.61, 2 Mg 3.39-3.69, 2 Sm 3.52
Sm 0.8534 0.7500 0.5729  9 Pm 3.36-3.70
Mg 0.0216 0.7500 0.1656  6 Pm 3.23-3.48, 1 Sm 3.39
Mg 0.9784 0.2500 0.8344  6 Pm 3.23-3.48, 1 Sm 3.39

Calculated values
distance to the lowest polymorph of the same formula	0.00	eV per formula unit
E	-4.207	eV/atom
ρ	6.52	g cm⁻³
energy relative to the elements	0.0835	eV/atom